# 1
A relaxed structure of Ca2InGe4Ir3, computed with GGA-PBE.

Cell: 4.2732 4.2732 10.7205 Å, 90.00 90.00 90.00°
Space group P-4m2 (No. 115)
Asymmetric unit:
Ca1 0.0000 0.5000 0.2374 (multiplicity 2)
In1 0.0000 0.0000 0.5000 (multiplicity 1)
Ge1 0.0000 0.0000 0.0000 (multiplicity 1)
Ge2 0.0000 0.5000 0.6521 (multiplicity 2)
Ge3 0.5000 0.5000 0.0000 (multiplicity 1)
Ir1 0.0000 0.5000 0.8797 (multiplicity 2)
Ir2 0.5000 0.5000 0.5000 (multiplicity 1)

## Properties
Its total DFT energy (no corrections) is -56.409 eV for the cell shown. As for the crystal system: tetragonal. The formation energy is -462 meV per atom.



# 2
A relaxed structure of CaInGeIr2, computed with GGA-PBE.

Cell: 4.9981 4.9981 5.0167 Å, 90.00 90.00 90.00°
Space group P4/mmm (No. 123)
Asymmetric unit:
Ca1 0.0000 0.0000 0.0000 (multiplicity 1)
In1 0.5000 0.5000 0.5000 (multiplicity 1)
Ge1 0.5000 0.5000 0.0000 (multiplicity 1)
Ir1 0.0000 0.5000 0.5000 (multiplicity 2)

## Properties
Its total DFT energy (no corrections) is -22.473 eV for the cell shown. As for the crystal system: tetragonal. The formation energy is 921 meV per atom.